Li2VO2F2 | Alexandria | GGA+U | relaxed; size of the total moment = 2.00 μB per cell; raw total energy = -6.0094 eV/atom; energy above the lowest structure with this stoichiometry = 0.0366 eV/atom; DOS at the Fermi energy = 0.70 states/eV per cell
1.0
5.913 0.000 0.000
2.956 5.187 0.004
0.000 -3.177 4.777
Li V O F
4 2 4 4
Direct
0.378 0.744 0.872
0.622 0.256 0.128
0.000 0.000 0.500
0.500 0.000 0.500
0.000 0.500 0.500
0.000 0.500 0.000
0.782 0.506 0.253
0.212 0.506 0.253
0.218 0.494 0.747
0.788 0.494 0.747
0.766 0.968 0.244
0.766 0.968 0.725
0.234 0.032 0.275
0.234 0.032 0.756